1.
Computed, not measured: Ti6Al16Ir7 at its PBEsol-relaxed geometry at the SCAN level of DFT.

Cell and atoms, written as POSCAR:
```
Ti6Al16Ir7
1.0
8.5179 0.0000 0.0000
4.2590 7.3768 0.0000
4.2590 2.4589 6.9549
Al Ir Ti
16 7 6
direct
0.1203 0.6391 0.1203 Al
0.6391 0.1203 0.1203 Al
0.8797 0.3609 0.8797 Al
0.3422 0.3422 0.9733 Al
0.3422 0.3422 0.3422 Al
0.6578 0.6578 0.6578 Al
0.6578 0.0267 0.6578 Al
0.1203 0.1203 0.6391 Al
0.8797 0.8797 0.3609 Al
0.6578 0.6578 0.0267 Al
0.1203 0.1203 0.1203 Al
0.9733 0.3422 0.3422 Al
0.3609 0.8797 0.8797 Al
0.8797 0.8797 0.8797 Al
0.3422 0.9733 0.3422 Al
0.0267 0.6578 0.6578 Al
0.0000 0.0000 0.5000 Ir
0.5000 0.5000 0.0000 Ir
0.0000 0.5000 0.5000 Ir
0.5000 0.0000 0.0000 Ir
0.0000 0.0000 0.0000 Ir
0.0000 0.5000 0.0000 Ir
0.5000 0.0000 0.5000 Ir
0.3219 0.6781 0.6781 Ti
0.6781 0.6781 0.3219 Ti
0.3219 0.6781 0.3219 Ti
0.6781 0.3219 0.3219 Ti
0.6781 0.3219 0.6781 Ti
0.3219 0.3219 0.6781 Ti
```

Summary:
As for the density of states at the Fermi level: 0.6210 states/eV/atom. The energy of formation comes out at -0.951 eV/atom. For the volume, the calculation gives 15.1 Å³/atom. As for the symmetry: Fm-3m. The energy comes out at -25.706 eV/atom.

---

2.
Computed, not measured: RbTaV2O8 at its PBEsol-relaxed geometry at the SCAN level of DFT.

Cell and atoms, written as POSCAR:
```
RbTaV2O8
1.0
-1.7713 -4.9961 -1.8013
8.6107 -2.4314 -1.7234
1.2456 -5.4655 13.9345
O Rb V Ta
32 4 8 4
direct
0.5038 0.6403 0.8780 O
0.2500 0.2746 0.4411 O
0.5038 0.8597 0.3780 O
0.2500 0.0845 0.7797 O
0.2500 0.6392 0.4586 O
0.7500 0.9155 0.2203 O
0.7500 0.3608 0.5414 O
0.7500 0.7254 0.5589 O
0.0038 0.1403 0.6220 O
0.5016 0.3558 0.8046 O
0.2500 0.8608 0.9586 O
0.7500 0.4118 0.9604 O
0.9962 0.6403 0.8780 O
0.2500 0.5882 0.0396 O
0.0038 0.3597 0.1220 O
0.5016 0.1442 0.3046 O
0.7500 0.0882 0.4604 O
0.0016 0.6442 0.1954 O
0.4962 0.3597 0.1220 O
0.4984 0.8558 0.6954 O
0.7500 0.7746 0.0589 O
0.0016 0.8558 0.6954 O
0.2500 0.9118 0.5396 O
0.7500 0.5845 0.7203 O
0.4962 0.1403 0.6220 O
0.2500 0.2254 0.9411 O
0.9984 0.1442 0.3046 O
0.4984 0.6442 0.1954 O
0.2500 0.4155 0.2797 O
0.7500 0.1392 0.0414 O
0.9984 0.3558 0.8046 O
0.9962 0.8597 0.3780 O
0.2500 0.0622 0.1061 Rb
0.7500 0.9378 0.8939 Rb
0.2500 0.4378 0.6061 Rb
0.7500 0.5622 0.3939 Rb
0.7500 0.7454 0.1650 V
0.2500 0.2454 0.3350 V
0.7500 0.3157 0.0596 V
0.2500 0.8157 0.4404 V
0.2500 0.2546 0.8350 V
0.7500 0.7546 0.6650 V
0.7500 0.1843 0.5596 V
0.2500 0.6843 0.9404 V
0.2500 0.9986 0.6595 Ta
0.7500 0.4986 0.8405 Ta
0.2500 0.5014 0.1595 Ta
0.7500 0.0014 0.3405 Ta
```

Summary:
As for the density of states at the Fermi level: 0.0000 states/eV/atom. The uncorrected formation energy comes out at -32.63 eV/f.u. For the volume, the calculation gives 16.0 Å³/atom. As for the symmetry: Pnma. The energy comes out at -17.065 eV/atom.

---

3.
Computed, not measured: CdSb2PtI at its PBEsol-relaxed geometry at the SCAN level of DFT.

Cell and atoms, written as POSCAR:
```
CdSb2PtI
1.0
-2.6769 4.3168 -1.1258
-2.0930 -0.0558 4.7628
4.1762 3.0777 1.8713
Cd Sb Pt I
1 2 1 1
direct
0.5000 0.5000 0.5000 Cd
0.0000 0.5000 0.0000 Sb
0.5000 0.0000 0.0000 Sb
0.0000 0.0000 0.0000 Pt
0.0000 0.0000 0.5000 I
```

Summary:
The calculation puts the relative energy among the computed polymorphs at 0 meV/atom. As for the density of states at the Fermi level: 0.8511 states/eV/atom. The uncorrected formation energy comes out at 1.78 eV/f.u. For the volume, the calculation gives 29.9 Å³/atom. As for the symmetry: P4/mmm. The energy comes out at -42.018 eV/atom.